## Ca2CrIn (GGA-PBE)

Data for a relaxed structure of Ca2CrIn.

As for the symmetry: P4mm, No. 99. Its final energy is -3.962 eV/atom. The value obtained for the formation energy is 0.129 eV per atom.

Geometry as POSCAR:
```
Ca2CrIn
1.0
-2.362 2.055 -2.014
0.515 -2.262 -2.911
-6.351 -4.768 2.582
Cr Ca In
1 2 1
Direct
0.000 0.000 0.549 Cr
0.000 0.000 0.947 Ca
0.500 0.500 0.303 Ca
0.500 0.500 0.702 In
```